[1]
# PBE NpZnTc2, optimized geometry
data_NpZnTc2
_chemical_formula_sum 'Np3 Zn3 Tc6'
_cell_length_a 3.2614
_cell_length_b 3.2614
_cell_length_c 22.3035
_cell_angle_alpha 90.00
_cell_angle_beta 90.00
_cell_angle_gamma 120.00
_symmetry_space_group_name_H-M 'R -3 m'
_symmetry_Int_Tables_number 166
_symmetry_space_group_name_Hall '-R 3 2"'
loop_
_atom_site_label
_atom_site_type_symbol
_atom_site_fract_x
_atom_site_fract_y
_atom_site_fract_z
Np1 Np 0.0000 0.0000 0.0000
Zn1 Zn 0.0000 0.0000 0.5000
Tc1 Tc 0.0000 0.0000 0.2566
# relative energy among the computed polymorphs	0.968	eV/f.u.
# crystal system	trigonal
# density of states at the Fermi level	3.9	states/eV/f.u.
# calculated volume	17.1	Å³/atom
# total DFT energy (no corrections)	-33.95	eV/f.u.
# formation energy	0.25	eV per atom

***

[2]
# PBE Li3CdHg, optimized geometry
data_Li3CdHg
_chemical_formula_sum 'Li3 Cd1 Hg1'
_cell_length_a 4.987
_cell_length_b 4.987
_cell_length_c 4.987
_cell_angle_alpha 90.00
_cell_angle_beta 90.00
_cell_angle_gamma 90.00
_symmetry_space_group_name_H-M 'P m -3 m'
_symmetry_Int_Tables_number 221
_symmetry_space_group_name_Hall '-P 4 2 3'
loop_
_atom_site_label
_atom_site_type_symbol
_atom_site_fract_x
_atom_site_fract_y
_atom_site_fract_z
Li1 Li 0.000 0.000 0.500
Cd1 Cd 0.500 0.500 0.500
Hg1 Hg 0.000 0.000 0.000
# relative energy among the computed polymorphs	1.555	eV/f.u.
# crystal system	cubic
# density of states at the Fermi level	2.3	states/eV/f.u.
# calculated volume	24.8	Å³/atom
# total DFT energy (no corrections)	-6.79	eV/f.u.
# formation energy	0.03	eV per atom

***

[3]
# PBE Pa3TiGa5, optimized geometry
data_Pa3TiGa5
_chemical_formula_sum 'Pa6 Ti2 Ga10'
_cell_length_a 8.6052
_cell_length_b 8.6052
_cell_length_c 5.8406
_cell_angle_alpha 90.00
_cell_angle_beta 90.00
_cell_angle_gamma 120.00
_symmetry_space_group_name_H-M 'P 63/m c m'
_symmetry_Int_Tables_number 193
_symmetry_space_group_name_Hall '-P 6c 2'
loop_
_atom_site_label
_atom_site_type_symbol
_atom_site_fract_x
_atom_site_fract_y
_atom_site_fract_z
Pa1 Pa 0.0000 0.3820 0.2500
Ti1 Ti 0.0000 0.0000 0.0000
Ga1 Ga 0.0000 0.2694 0.7500
Ga2 Ga 0.3333 0.6667 0.0000
# crystal system	hexagonal
# density of states at the Fermi level	14.3	states/eV/f.u.
# calculated volume	20.8	Å³/atom
# total DFT energy (no corrections)	-54.06	eV/f.u.
# formation energy	-0.28	eV per atom

***

[4]
# PBE Mg7GaHg4, optimized geometry
data_Mg7GaHg4
_chemical_formula_sum 'Mg14 Ga2 Hg8'
_cell_length_a 13.580
_cell_length_b 5.096
_cell_length_c 10.220
_cell_angle_alpha 90.00
_cell_angle_beta 127.32
_cell_angle_gamma 90.00
_symmetry_space_group_name_H-M 'C 1 2/m 1'
_symmetry_Int_Tables_number 12
_symmetry_space_group_name_Hall '-C 2y'
loop_
_atom_site_label
_atom_site_type_symbol
_atom_site_fract_x
_atom_site_fract_y
_atom_site_fract_z
Mg1 Mg 0.000 0.000 0.000
Mg2 Mg 0.072 0.500 0.323
Mg3 Mg 0.150 0.000 0.581
Mg4 Mg 0.214 0.500 0.873
Ga1 Ga 0.000 0.500 0.000
Hg1 Hg 0.072 0.000 0.781
Hg2 Hg 0.215 0.000 0.342
# crystal system	monoclinic
# density of states at the Fermi level	3.8	states/eV/f.u.
# calculated volume	23.4	Å³/atom
# total DFT energy (no corrections)	-16.52	eV/f.u.
# formation energy	-0.09	eV per atom